No. 1
This record from OQMD describes crystalline Y2ZnTcC at its relaxed geometry. The functional is PBE-GGA.

a b c (Å): 4.9469 4.9469 3.9668
angles (deg): 90.00 90.00 90.00
Last column: nearest neighbours and their distance in Å.
Space group P4/mmm (No. 123)
Unique sites:
Y: 0.0000 0.5000 0.0000 [2 per cell]  2 C 2.47
Zn: 0.0000 0.0000 0.5000 [1 per cell]  8 Y 3.17, 4 Tc 3.50
Tc: 0.5000 0.5000 0.5000 [1 per cell]  2 C 1.98
C: 0.5000 0.5000 0.0000 [1 per cell]  2 Tc 1.98

Computed properties:
For the uncorrected energy, the calculation gives -7.06 eV per atom. The value obtained for the mass density is 6.0 g/cm3. The volume comes out at 97 Å³/cell.

---

No. 2
This record from OQMD describes crystalline Zr2TcC3 at its relaxed geometry. The functional is PBE-GGA.

a b c (Å): 3.2726 3.2726 7.7452
angles (deg): 90.00 90.00 120.00
Last column: nearest neighbours and their distance in Å.
Space group P-3m1 (No. 164)
Unique sites:
Zr: 0.3333 0.6667 0.1788 [2 per cell]  6 C 2.32-2.34
Tc: 0.0000 0.0000 0.5000 [1 per cell]  6 C 2.21
C: 0.0000 0.0000 0.0000 [1 per cell]  6 Zr 2.34
C: 0.3333 0.6667 0.6471 [2 per cell]  3 Tc 2.21, 3 Zr 2.32

Computed properties:
For the uncorrected energy, the calculation gives -9.54 eV per atom. The value obtained for the mass density is 7.3 g/cm3. The volume comes out at 72 Å³/cell.

---

No. 3
This record from OQMD describes crystalline ZrTc2C3 at its relaxed geometry. The functional is PBE-GGA.

a b c (Å): 3.1647 3.1647 7.5883
angles (deg): 90.00 90.00 120.00
Last column: nearest neighbours and their distance in Å.
Space group P-3m1 (No. 164)
Unique sites:
Zr: 0.0000 0.0000 0.0000 [1 per cell]  6 C 2.31
Tc: 0.3333 0.6667 0.6648 [2 per cell]  6 C 2.15-2.21
C: 0.0000 0.0000 0.5000 [1 per cell]  6 Tc 2.21
C: 0.3333 0.6667 0.1869 [2 per cell]  3 Tc 2.15, 3 Zr 2.31

Computed properties:
For the uncorrected energy, the calculation gives -9.38 eV per atom. The value obtained for the mass density is 8.2 g/cm3. The volume comes out at 66 Å³/cell.